Computed, not measured: a relaxed YCrTe2I crystal at the PBE level of DFT.

formation energy without anion corrections: -18.9 kJ per mole of atoms
distance to the lowest polymorph of the same formula: 0.000 eV/atom
theoretical density: 5.68 g cm⁻³
magnetic moment: 3.899 μB/f.u.

Cell lengths 5.3826, 5.3826, 5.2738 Å; angles 90.00, 90.00, 90.00 degrees
Fractional positions:
I (0.0000, 0.0000, 0.5000)
Y (0.5000, 0.5000, 0.5000)
Te (0.0000, 0.5000, 0.0000)
Te (0.5000, 0.0000, 0.0000)
Cr (0.0000, 0.0000, 0.0000)